1.
The following is a PBE calculation of crystalline ScTl2AsRu at its relaxed geometry, from the Alexandria database.

The total energy comes out at -0.145 hartree per atom. Its formation energy is 1.0415 eV/atom. For the energy above the most stable polymorph in this dataset, the calculation gives 0.60 eV/f.u.

The space group is P4/mmm (No. 123) and the conventional cell measures 5.5536, 5.5536 and 4.9687 Å, with angles of 90.00, 90.00 and 90.00 degrees. The distinct sites, in fractional coordinates, are Sc at (0.0000, 0.0000, 0.0000), Tl at (0.0000, 0.5000, 0.0000), As at (0.0000, 0.0000, 0.5000) and Ru at (0.5000, 0.5000, 0.5000).



2.
The following is a PBE calculation of crystalline YCuAs3 at its relaxed geometry, from the Alexandria database.

The total energy comes out at -0.152 hartree per atom. Its formation energy is 0.7585 eV/atom. For the energy above the most stable polymorph in this dataset, the calculation gives 4.23 eV/f.u.

The space group is Pm-3m (No. 221) and the conventional cell measures 5.3850, 5.3850 and 5.3850 Å, with angles of 90.00, 90.00 and 90.00 degrees. The distinct sites, in fractional coordinates, are Y at (0.0000, 0.0000, 0.0000), Cu at (0.5000, 0.5000, 0.5000) and As at (0.0000, 0.0000, 0.5000).



3.
The following is a PBE calculation of crystalline Y3Sn3Hg at its relaxed geometry, from the Alexandria database.

The total energy comes out at -0.190 hartree per atom. Its formation energy is -0.6309 eV/atom.

The space group is C2/m (No. 12) and the conventional cell measures 11.5729, 4.5152 and 15.0423 Å, with angles of 90.00, 106.99 and 90.00 degrees. The distinct sites, in fractional coordinates, are Y at (0.0093, 0.0000, 0.3736), Y at (0.1056, 0.0000, 0.9244), Y at (0.2243, 0.0000, 0.2254), Sn at (0.0089, 0.5000, 0.7785), Sn at (0.1220, 0.5000, 0.0747), Sn at (0.1349, 0.5000, 0.5409) and Hg at (0.2209, 0.5000, 0.3704).



4.
The following is a PBE calculation of crystalline MnSe3Cl at its relaxed geometry, from the Alexandria database.

The total energy comes out at -0.146 hartree per atom. The raw formation energy comes out at 0.32 eV/atom. For the energy above the most stable polymorph in this dataset, the calculation gives 0.00 eV/f.u.

The space group is Pm-3m (No. 221) and the conventional cell measures 4.7022, 4.7022 and 4.7022 Å, with angles of 90.00, 90.00 and 90.00 degrees. The distinct sites, in fractional coordinates, are Mn at (0.0000, 0.0000, 0.0000), Se at (0.0000, 0.0000, 0.5000) and Cl at (0.5000, 0.5000, 0.5000).



5.
The following is a PBE calculation of crystalline Ce2PuNi2Ge2 at its relaxed geometry, from the Alexandria database.

The total energy comes out at -0.265 hartree per atom. Its formation energy is -0.5032 eV/atom.

The space group is R-3m (No. 166, hexagonal axes) and the conventional cell measures 4.2103, 4.2103 and 26.8036 Å, with angles of 90.00, 90.00 and 120.00 degrees. The distinct sites, in fractional coordinates, are Ce at (0.0000, 0.0000, 0.1364), Pu at (0.0000, 0.0000, 0.0000), Ni at (0.0000, 0.0000, 0.4076) and Ge at (0.0000, 0.0000, 0.2637).



6.
The following is a PBE calculation of crystalline AcPm6Ge6 at its relaxed geometry, from the Alexandria database.

The total energy comes out at -0.189 hartree per atom. Its formation energy is -0.5111 eV/atom.

The space group is P6/mmm (No. 191) and the conventional cell measures 7.2541, 7.2541 and 8.5560 Å, with angles of 90.00, 90.00 and 120.00 degrees. The distinct sites, in fractional coordinates, are Ac at (0.0000, 0.0000, 0.0000), Pm at (0.0000, 0.5000, 0.2586), Ge at (0.0000, 0.0000, 0.3540), Ge at (0.3333, 0.6667, 0.0000) and Ge at (0.3333, 0.6667, 0.5000).



7.
The following is a PBE calculation of crystalline TiCr2PtC at its relaxed geometry, from the Alexandria database.

The total energy comes out at -0.325 hartree per atom. Its formation energy is -0.3600 eV/atom.

The space group is P4/mmm (No. 123) and the conventional cell measures 3.8893, 3.8893 and 4.1419 Å, with angles of 90.00, 90.00 and 90.00 degrees. The distinct sites, in fractional coordinates, are Ti at (0.0000, 0.0000, 0.0000), Cr at (0.0000, 0.5000, 0.5000), Pt at (0.5000, 0.5000, 0.0000) and C at (0.0000, 0.0000, 0.5000).



8.
The following is a PBE calculation of crystalline SrPr2Tm at its relaxed geometry, from the Alexandria database.

The total energy comes out at -0.141 hartree per atom. Its formation energy is 0.0999 eV/atom. For the energy above the most stable polymorph in this dataset, the calculation gives 0.02 eV/f.u.

The space group is P4/mmm (No. 123) and the conventional cell measures 4.1222, 4.1222 and 9.1941 Å, with angles of 90.00, 90.00 and 90.00 degrees. The distinct sites, in fractional coordinates, are Sr at (0.0000, 0.0000, 0.0000), Pr at (0.5000, 0.5000, 0.2952) and Tm at (0.0000, 0.0000, 0.5000).